Below is MnRuF3 at its PBEsol-relaxed geometry, with properties calculated at the SCAN level.

For the energy, the calculation gives -14.163 eV per atom. The formation energy (no corrections) comes out at -1.423 eV/atom. As for the crystal system: cubic. The calculation puts the total magnetization at 7.99 μB per formula unit.

The space group is Pm-3m (No. 221) and the conventional cell measures 4.087, 4.087 and 4.087 Å, with angles of 90.00, 90.00 and 90.00 degrees. Symmetry generates all atoms from Mn at (0.000, 0.000, 0.000), Ru at (0.500, 0.500, 0.500) and F at (0.000, 0.000, 0.500).

=====

Below is Al3Pt2 at its PBEsol-relaxed geometry, with properties calculated at the SCAN level.

For the energy, the calculation gives -33.657 eV per atom. The value obtained for the formation energy is -928 meV/atom. As for the crystal system: orthorhombic. The calculation puts the total magnetization at 0.00 μB per formula unit.

The space group is Fdd2 (No. 43) and the conventional cell measures 9.466, 13.115 and 4.739 Å, with angles of 90.00, 90.00 and 90.00 degrees. Symmetry generates all atoms from Al at (0.000, 0.000, 0.000), Al at (0.046, 0.105, 0.487) and Pt at (0.037, 0.191, 0.971).

=====

Below is LaReH2N at its PBEsol-relaxed geometry, with properties calculated at the SCAN level.

For the energy, the calculation gives -24.270 eV per atom. As for the crystal system: tetragonal. The calculation puts the total magnetization at 2.69 μB per formula unit.

The space group is P4/mmm (No. 123) and the conventional cell measures 3.831, 3.831 and 4.721 Å, with angles of 90.00, 90.00 and 90.00 degrees. Symmetry generates all atoms from La at (0.000, 0.000, 0.000), Re at (0.500, 0.500, 0.000), H at (0.000, 0.500, 0.500) and N at (0.000, 0.000, 0.500).

=====

Below is NiAs2SO at its PBEsol-relaxed geometry, with properties calculated at the SCAN level.

For the energy, the calculation gives -14.108 eV per atom. The formation energy (no corrections) comes out at 0.374 eV/atom. As for the crystal system: tetragonal. The calculation puts the total magnetization at 0.00 μB per formula unit.

The space group is P4/mmm (No. 123) and the conventional cell measures 4.566, 4.566 and 3.564 Å, with angles of 90.00, 90.00 and 90.00 degrees. Symmetry generates all atoms from Ni at (0.000, 0.000, 0.000), As at (0.000, 0.500, 0.500), S at (0.500, 0.500, 0.000) and O at (0.000, 0.000, 0.500).

=====

Below is LaNbSi2Se at its PBEsol-relaxed geometry, with properties calculated at the SCAN level.

For the energy, the calculation gives -21.882 eV per atom. The formation energy (no corrections) comes out at 1.387 eV/atom. As for the crystal system: tetragonal. The calculation puts the total magnetization at 2.47 μB per formula unit.

The space group is P4/mmm (No. 123) and the conventional cell measures 5.252, 5.252 and 5.416 Å, with angles of 90.00, 90.00 and 90.00 degrees. Symmetry generates all atoms from La at (0.000, 0.000, 0.000), Nb at (0.500, 0.500, 0.500), Si at (0.000, 0.500, 0.000) and Se at (0.000, 0.000, 0.500).

=====

Below is MgSbAs2 at its PBEsol-relaxed geometry, with properties calculated at the SCAN level.

For the energy, the calculation gives -20.553 eV per atom. The formation energy (no corrections) comes out at 0.100 eV/atom. For the energy above the lowest structure with this stoichiometry, the calculation gives 312 meV/atom. As for the crystal system: tetragonal. The calculation puts the total magnetization at 0.00 μB per formula unit.

The space group is I4/mmm (No. 139) and the conventional cell measures 5.246, 5.246 and 6.090 Å, with angles of 90.00, 90.00 and 90.00 degrees. Symmetry generates all atoms from Mg at (0.000, 0.000, 0.000), Sb at (0.000, 0.000, 0.500) and As at (0.000, 0.500, 0.250).

=====

Below is RbPt at its PBEsol-relaxed geometry, with properties calculated at the SCAN level.

For the energy, the calculation gives -44.936 eV per atom. The value obtained for the formation energy is 530 meV/atom. As for the crystal system: cubic. The calculation puts the total magnetization at 0.00 μB per formula unit.

The space group is Fd-3m (No. 227, origin choice 2) and the conventional cell measures 7.263, 7.263 and 7.263 Å, with angles of 90.00, 90.00 and 90.00 degrees. Symmetry generates all atoms from Rb at (0.125, 0.125, 0.125) and Pt at (0.125, 0.125, 0.625).

=====

Below is LiCrAu3 at its PBEsol-relaxed geometry, with properties calculated at the SCAN level.

For the energy, the calculation gives -45.440 eV per atom. The value obtained for the formation energy is 209 meV/atom. As for the crystal system: cubic. The calculation puts the total magnetization at 4.14 μB per formula unit.

The space group is Pm-3m (No. 221) and the conventional cell measures 4.364, 4.364 and 4.364 Å, with angles of 90.00, 90.00 and 90.00 degrees. Symmetry generates all atoms from Li at (0.000, 0.000, 0.000), Cr at (0.500, 0.500, 0.500) and Au at (0.000, 0.000, 0.500).

=====

Below is Ag4Au at its PBEsol-relaxed geometry, with properties calculated at the SCAN level.

For the energy, the calculation gives -38.978 eV per atom. The value obtained for the formation energy is -53 meV/atom. For the energy above the lowest structure with this stoichiometry, the calculation gives 0 meV/atom. As for the crystal system: tetragonal. The calculation puts the total magnetization at 0.00 μB per formula unit.

The space group is I4/m (No. 87) and the conventional cell measures 6.403, 6.403 and 4.049 Å, with angles of 90.00, 90.00 and 90.00 degrees. Symmetry generates all atoms from Ag at (0.100, 0.300, 0.000) and Au at (0.000, 0.000, 0.500).

=====

Below is SrRe2Ge2 at its PBEsol-relaxed geometry, with properties calculated at the SCAN level.

For the energy, the calculation gives -40.531 eV per atom. The value obtained for the formation energy is -2 meV/atom. As for the crystal system: tetragonal. The calculation puts the total magnetization at 0.00 μB per formula unit.

The space group is I4/mmm (No. 139) and the conventional cell measures 4.566, 4.566 and 9.450 Å, with angles of 90.00, 90.00 and 90.00 degrees. Symmetry generates all atoms from Sr at (0.000, 0.000, 0.000), Re at (0.000, 0.000, 0.378) and Ge at (0.000, 0.500, 0.250).

=====

Below is HfAs2RhSe at its PBEsol-relaxed geometry, with properties calculated at the SCAN level.

For the energy, the calculation gives -31.027 eV per atom. The formation energy (no corrections) comes out at 0.354 eV/atom. As for the crystal system: tetragonal. The calculation puts the total magnetization at 0.00 μB per formula unit.

The space group is P4/mmm (No. 123) and the conventional cell measures 4.626, 4.626 and 4.893 Å, with angles of 90.00, 90.00 and 90.00 degrees. Symmetry generates all atoms from Hf at (0.000, 0.000, 0.000), As at (0.000, 0.500, 0.500), Rh at (0.500, 0.500, 0.500) and Se at (0.500, 0.500, 0.000).

=====

Below is YZnCu at its PBEsol-relaxed geometry, with properties calculated at the SCAN level.

For the energy, the calculation gives -19.245 eV per atom. The value obtained for the formation energy is -393 meV/atom. As for the crystal system: hexagonal. The calculation puts the total magnetization at 0.01 μB per formula unit.

The space group is P-6m2 (No. 187) and the conventional cell measures 4.2926, 4.2926 and 3.4625 Å, with angles of 90.00, 90.00 and 120.00 degrees. Symmetry generates all atoms from Y at (0.0000, 0.0000, 0.0000), Zn at (0.3333, 0.6667, 0.5000) and Cu at (0.6667, 0.3333, 0.5000).